Entry from OQMD via LeMat-Bulk: a relaxed structure of Ba2ZnS3 (PBE).

a = 12.138 Å, b = 4.240 Å, c = 12.701 Å
α = 90.00°, β = 90.00°, γ = 90.00°
Sites, in units of the cell vectors:
Ba  0.011  0.250  0.175
Ba  0.173  0.250  0.517
Ba  0.327  0.750  0.017
Ba  0.489  0.750  0.675
Ba  0.511  0.250  0.325
Ba  0.673  0.250  0.983
Ba  0.827  0.750  0.483
Ba  0.989  0.750  0.825
Zn  0.246  0.750  0.304
Zn  0.254  0.250  0.804
Zn  0.746  0.750  0.196
Zn  0.754  0.250  0.696
S  0.061  0.750  0.360
S  0.135  0.250  0.947
S  0.223  0.750  0.708
S  0.277  0.250  0.208
S  0.365  0.750  0.447
S  0.439  0.250  0.860
S  0.561  0.750  0.140
S  0.635  0.250  0.553
S  0.723  0.750  0.792
S  0.777  0.250  0.292
S  0.865  0.750  0.053
S  0.939  0.250  0.640

## Properties
Excess energy over the best structure of this formula in the dataset (meV/atom): 0.0
Raw total energy (eV per atom): -4.578
Space-group type: Pnma (62)

Entry from OQMD via LeMat-Bulk: a relaxed structure of BaZnS2 (PBE).

a = 7.137 Å, b = 4.067 Å, c = 13.971 Å
α = 90.00°, β = 90.00°, γ = 90.00°
Sites, in units of the cell vectors:
Ba  0.211  0.250  0.128
Ba  0.289  0.750  0.628
Ba  0.711  0.250  0.372
Ba  0.789  0.750  0.872
Zn  0.235  0.750  0.362
Zn  0.265  0.250  0.862
Zn  0.735  0.750  0.138
Zn  0.765  0.250  0.638
S  0.026  0.250  0.740
S  0.239  0.750  0.950
S  0.261  0.250  0.450
S  0.474  0.750  0.240
S  0.526  0.250  0.760
S  0.739  0.750  0.550
S  0.761  0.250  0.050
S  0.974  0.750  0.260

## Properties
Raw total energy (eV per atom): -4.277
Space-group type: Pnma (62)

Entry from OQMD via LeMat-Bulk: a relaxed structure of Ba6ZrZn6S14 (PBE).

a = 12.650 Å, b = 12.650 Å, c = 12.650 Å
α = 98.81°, β = 98.81°, γ = 133.92°
Sites, in units of the cell vectors:
Ba  0.053  0.250  0.803
Ba  0.229  0.729  0.959
Ba  0.250  0.053  0.803
Ba  0.250  0.447  0.197
Ba  0.271  0.229  0.500
Ba  0.447  0.250  0.197
Ba  0.553  0.750  0.803
Ba  0.729  0.771  0.500
Ba  0.750  0.553  0.803
Ba  0.750  0.947  0.197
Ba  0.771  0.271  0.041
Ba  0.947  0.750  0.197
Zr  0.000  0.000  0.000
Zr  0.500  0.500  0.000
Zn  0.061  0.561  0.322
Zn  0.117  0.383  0.500
Zn  0.239  0.739  0.678
Zn  0.261  0.939  0.500
Zn  0.383  0.883  0.265
Zn  0.439  0.761  0.500
Zn  0.561  0.239  0.500
Zn  0.617  0.117  0.735
Zn  0.739  0.061  0.500
Zn  0.761  0.261  0.322
Zn  0.883  0.617  0.500
Zn  0.939  0.439  0.678
S  0.015  0.673  0.689
S  0.040  0.877  0.500
S  0.112  0.113  0.225
S  0.113  0.888  0.001
S  0.123  0.623  0.163
S  0.173  0.515  0.689
S  0.250  0.250  0.000
S  0.250  0.750  0.500
S  0.327  0.015  0.342
S  0.377  0.540  0.500
S  0.387  0.388  0.775
S  0.388  0.613  0.001
S  0.460  0.960  0.837
S  0.485  0.173  0.658
S  0.515  0.827  0.342
S  0.540  0.040  0.163
S  0.612  0.387  0.999
S  0.613  0.612  0.225
S  0.623  0.460  0.500
S  0.673  0.985  0.658
S  0.750  0.250  0.500
S  0.750  0.750  0.000
S  0.827  0.485  0.311
S  0.877  0.377  0.837
S  0.887  0.112  0.999
S  0.888  0.887  0.775
S  0.960  0.123  0.500
S  0.985  0.327  0.311

## Properties
Raw total energy (eV per atom): -4.628
M_tot (μB per formula unit): 0.00
Space-group type: I4/mcm (140)

Which value of raw total energy does entry 1 give? -4.578 eV per atom

Which of these has the lowest raw total energy? Ba6ZrZn6S14